12
Lattice="4.9803 0.0000 0.0000 0.0000 9.9742 0.3559 -2.4901 -2.8695 10.4886" Properties=species:S:1:pos:R:3 comment="K2Tl3GaI6 | Alexandria | PBE | optimized geometry" dos_ef_per_ev_cell=0.0 formation_energy_uncorrected_ev_per_atom=-0.877 dft_energy_ev_per_fu=-32.15 pbc="T T T"
K 0.0000 2.3557 3.5754
K 2.4901 4.7490 7.2690
I 2.4901 4.8585 3.7054
I 0.0000 2.2462 7.1391
I 2.4901 -0.5045 10.5356
I 2.4901 -0.1197 3.3825
I 0.0000 7.6092 0.3088
I 0.0000 7.2244 7.4619
Tl 2.4901 4.9871 0.1780
Tl 2.4901 -0.2701 7.0170
Tl 0.0000 7.3748 3.8275
Ga 2.4901 0.0000 0.0000

4
Lattice="-2.4219 -3.0015 1.5978 1.1367 -1.9512 3.5111 -2.1044 0.6798 3.5408" Properties=species:S:1:pos:R:3 comment="Cr2CuTc | Alexandria | PBE | optimized geometry" dos_ef_per_ev_cell=3.1 dft_energy_ev_per_fu=-32.63 delta_e_f_ev_per_atom=0.271 pbc="T T T"
Cr -0.8474 -1.0682 2.1624
Cr 0.0000 0.0000 0.0000
Cu -1.6947 -2.1365 4.3249
Tc -2.5421 -3.2047 6.4873

4
Lattice="3.2644 0.0000 0.0000 1.6322 2.8270 0.0000 1.6322 0.9423 8.8943" Properties=species:S:1:pos:R:3 comment="EuHf2N | Alexandria | PBE | optimized geometry" dos_ef_per_ev_cell=3.2 formation_energy_uncorrected_ev_per_atom=-0.601 dft_energy_ev_per_fu=-40.91 pbc="T T T"
Hf 4.8966 2.8270 3.2371
Hf 1.6322 0.9423 5.6571
Eu 0.0000 0.0000 0.0000
N 3.2644 1.8847 4.4471

4
Lattice="-2.2086 -2.2938 3.4360 2.5656 -2.3671 -3.1246 5.0344 3.0792 5.2916" Properties=species:S:1:pos:R:3 comment="NaTlAgSb | Alexandria | PBE | optimized geometry" dos_ef_per_ev_cell=1.5 formation_energy_uncorrected_ev_per_atom=-0.017 dft_energy_ev_per_fu=-10.73 pbc="T T T"
Tl 1.0975 -2.5931 -1.0257
Sb 1.2893 -2.3523 2.4518
Ag 3.4034 -2.3118 0.6443
Na 3.5064 0.1661 2.3647

12
Lattice="-2.0748 -1.6437 -3.4454 1.6156 -4.0193 -1.7949 -3.2382 -5.3244 1.7506" Properties=species:S:1:pos:R:3 comment="PaInH8Ru2 | Alexandria | PBE | optimized geometry" dos_ef_per_ev_cell=4.9 dft_energy_ev_per_fu=-58.53 pbc="T T T"
H -0.4944 -3.9814 -0.5423
H -2.5512 -8.9422 -3.8346
H -2.2205 -2.8962 -1.4391
H -1.4769 -8.0911 -2.0505
H -1.0828 -3.7795 -3.0238
H -1.1462 -2.0451 0.3449
H -3.2030 -7.0060 -2.9473
H -2.6146 -7.2079 -0.4659
In 0.0000 0.0000 0.0000
Ru -0.6351 -2.3875 -1.2180
Ru -3.0623 -8.5999 -2.2717
Pa -1.8487 -5.4937 -1.7448

5
Lattice="-1.6945 4.1986 1.6606 0.9280 -1.5379 4.8352 4.4310 1.8872 -0.2501" Properties=species:S:1:pos:R:3 comment="VPdWBr2 | Alexandria | PBE | optimized geometry" dos_ef_per_ev_cell=6.0 formation_energy_uncorrected_ev_per_atom=1.297 dft_energy_ev_per_fu=-24.13 pbc="T T T"
Br -0.8472 2.0993 0.8303
Br 2.2155 0.9436 -0.1251
V 0.0000 0.0000 0.0000
Pd 0.4640 -0.7690 2.4176
W 1.8322 2.2739 3.1229

8
Lattice="-3.4181 -4.0419 1.1284 3.5172 -1.9655 3.6138 -2.2509 2.9654 3.8036" Properties=species:S:1:pos:R:3 comment="MgRe | Alexandria | PBE | optimized geometry" dos_ef_per_ev_cell=6.4 dft_energy_ev_per_fu=-11.35 delta_e_f_ev_per_atom=1.348 pbc="T T T"
Mg -1.1075 0.3941 2.7611
Mg -1.2072 -3.3800 1.9207
Mg 1.3063 -2.6274 2.8215
Mg -1.0443 -3.4361 5.7847
Re -2.1251 -1.8351 3.8969
Re 0.0150 -0.9088 0.7174
Re 0.0842 -5.0986 4.0248
Re -0.0267 -1.2069 4.6489

14
Lattice="8.4075 -0.2332 -2.7080 -3.2075 6.8556 -2.3506 -0.6369 -0.3926 8.3744" Properties=species:S:1:pos:R:3 comment="Tl4Te2Se | Alexandria | PBE | optimized geometry" dos_ef_per_ev_cell=7.3 formation_energy_uncorrected_ev_per_atom=-0.239 dft_energy_ev_per_fu=-20.91 pbc="T T T"
Se 5.3779 1.4567 1.7446
Se 4.6096 6.1240 3.0571
Te 0.9838 3.0297 3.1391
Te 4.8620 4.8391 -1.0151
Te 3.0764 0.3240 5.7645
Te 0.1413 4.1904 -1.1984
Tl 2.0028 5.7305 1.3662
Tl -0.2150 1.1641 5.4552
Tl 6.9691 2.1149 -1.6214
Tl 4.1300 3.0846 4.1100
Tl -1.8163 4.5975 4.2930
Tl 2.3403 5.9879 -2.7094
Tl 2.8697 2.3842 0.0459
Tl 1.7962 -0.0762 2.3475

5
Lattice="-1.8204 2.4618 -3.5027 2.3289 -4.5999 -1.3536 -4.2129 -0.3518 1.9421" Properties=species:S:1:pos:R:3 comment="CrIr4 | Alexandria | PBE | optimized geometry" dos_ef_per_ev_cell=6.2 dft_energy_ev_per_fu=-41.33 delta_e_f_ev_per_atom=0.748 pbc="T T T"
Ir -1.2541 -0.5415 -2.8184
Ir -0.4880 -2.5157 -1.5144
Ir -3.2163 0.0258 -1.3999
Ir -2.4503 -1.9483 -0.0960
Cr 0.0000 0.0000 0.0000

4
Lattice="-5.1820 -0.2004 -0.7593 0.6512 -1.6109 -4.0190 0.2326 -5.5254 -0.1288" Properties=species:S:1:pos:R:3 comment="LaCdCl2 | Alexandria | PBE | optimized geometry" dos_ef_per_ev_cell=2.5 formation_energy_uncorrected_ev_per_atom=-1.304 dft_energy_ev_per_fu=-14.75 pbc="T T T"
Cl -2.2492 -2.2414 -2.1475
Cl 0.0349 -0.3918 -0.1349
Cd -1.9630 -5.0650 -3.3549
La 0.3209 -3.2066 -1.3435

8
Lattice="4.3668 0.0000 0.0000 0.0000 6.6388 0.0000 0.0000 0.0000 6.6388" Properties=species:S:1:pos:R:3 comment="Rb2YF5 | Alexandria | PBE | optimized geometry" dos_ef_per_ev_cell=0.0 formation_energy_uncorrected_ev_per_atom=-3.377 dft_energy_ev_per_fu=-44.77 pbc="T T T"
F 0.0000 1.5302 5.1086
F 0.0000 5.1086 5.1086
F 0.0000 1.5302 1.5302
F 0.0000 5.1086 1.5302
F 2.1834 0.0000 0.0000
Rb 2.1834 0.0000 3.3194
Rb 2.1834 3.3194 0.0000
Y 0.0000 0.0000 0.0000

5
Lattice="-2.0642 -1.0859 6.0967 2.2241 -6.1278 -0.3384 3.2141 1.0957 1.2834" Properties=species:S:1:pos:R:3 comment="AuI2BrN | Alexandria | PBE | optimized geometry" dos_ef_per_ev_cell=3.2 formation_energy_uncorrected_ev_per_atom=1.368 dft_energy_ev_per_fu=-9.53 pbc="T T T"
Au 1.6869 -3.0590 3.5208
I -1.0321 -0.5430 3.0484
I 1.1120 -3.0639 -0.1692
N 1.6070 0.5478 0.6417
Br 0.0000 0.0000 0.0000

4
Lattice="-2.4130 -3.9388 -2.0829 2.5107 -4.3645 0.5686 -1.2601 3.6841 3.2427" Properties=species:S:1:pos:R:3 comment="ScFe2Te | Alexandria | PBE | optimized geometry" dos_ef_per_ev_cell=3.1 formation_energy_uncorrected_ev_per_atom=-0.002 dft_energy_ev_per_fu=-26.40 pbc="T T T"
Fe 0.0488 -4.1432 -0.7556
Fe 0.0001 -0.0085 -0.0015
Te 0.6497 -2.4160 1.5271
Sc -1.8121 -2.2032 0.2013

24
Lattice="-3.8092 -0.9206 -8.6595 -1.3614 -8.6495 -3.6981 -8.8154 -3.4179 -0.9754" Properties=species:S:1:pos:R:3 comment="Ho4CdNi | Alexandria | PBE | optimized geometry" dos_ef_per_ev_cell=25.1 dft_energy_ev_per_fu=-26.84 delta_e_f_ev_per_atom=-0.305 pbc="T T T"
Cd -8.1305 -7.5504 -7.7509
Cd -6.8913 -7.2509 -4.9336
Cd -7.6876 -4.7364 -6.5478
Cd -5.2626 -6.4384 -7.4336
Ho -7.1826 -5.0830 -9.8969
Ho -10.4980 -5.1524 -8.5140
Ho -5.8588 -8.4085 -10.2086
Ho -5.6980 -9.7707 -6.8877
Ho -11.6742 -11.8149 -9.2581
Ho -8.3940 -10.5431 -8.8952
Ho -9.3048 -7.6672 -10.7413
Ho -10.2189 -6.5977 -5.2364
Ho -4.8723 -4.5247 -4.6448
Ho -12.5849 -8.9390 -11.1042
Ho -11.1676 -8.5964 -7.8821
Ho -8.1272 -4.5795 -3.1244
Ho -5.0114 -3.0251 -7.9069
Ho -9.8114 -10.8856 -12.1173
Ho -8.9746 -9.9629 -5.4260
Ho -3.4880 -7.8356 -4.8190
Ni -2.5781 -5.5708 -3.4902
Ni -5.7843 -3.3205 -2.3190
Ni -3.6310 -2.2463 -5.6242
Ni -1.9925 -1.8504 -1.8995

15
Lattice="-5.5651 -3.7373 -5.7539 -0.6061 -1.9036 8.6046 -2.2514 7.8948 -2.9504" Properties=species:S:1:pos:R:3 comment="Li3Sm3NpTe8 | Alexandria | PBE | optimized geometry" dos_ef_per_ev_cell=3.6 formation_energy_uncorrected_ev_per_atom=-1.141 dft_energy_ev_per_fu=-75.09 pbc="T T T"
Sm -3.9082 2.0788 -4.3522
Sm -4.2113 1.1270 -0.0498
Sm -1.4287 2.9956 2.8271
Li -3.0856 -2.8204 1.4254
Li 0.0000 0.0000 0.0000
Li -0.3031 -0.9518 4.3023
Np -1.1257 3.9474 -1.4752
Te -2.5018 -0.8518 6.4341
Te -2.2106 0.0334 2.1163
Te -5.3419 -2.7591 3.4977
Te -3.0807 5.0130 -3.5974
Te -5.0450 -1.8270 -0.7158
Te -3.3776 4.0809 0.6161
Te -5.9208 3.1057 -6.5338
Te -6.2120 2.2205 -2.2160

4
Lattice="4.5157 0.0000 0.0000 0.0000 4.8528 0.0000 0.0000 0.0000 6.4705" Properties=species:S:1:pos:R:3 comment="Bi3Sb | Alexandria | PBE | optimized geometry" dos_ef_per_ev_cell=0.4 formation_energy_uncorrected_ev_per_atom=0.006 dft_energy_ev_per_fu=-15.74 pbc="T T T"
Bi 2.2578 1.3895 0.0000
Bi 0.0000 3.8844 3.2352
Bi 2.2578 1.8052 3.2352
Sb 0.0000 4.2440 0.0000

4
Lattice="-0.2299 -0.6582 2.7897 2.8199 0.4494 0.3384 -1.0895 5.8631 1.2934" Properties=species:S:1:pos:R:3 comment="NiPRu2 | Alexandria | PBE | optimized geometry" dos_ef_per_ev_cell=4.6 dft_energy_ev_per_fu=-30.20 delta_e_f_ev_per_atom=-0.113 pbc="T T T"
P 0.7502 2.8271 2.2108
Ru -0.7883 4.2419 0.9358
Ru -0.3013 1.6212 0.3576
Ni 1.2950 -0.1044 1.5641

5
Lattice="-1.8524 1.8524 6.3764 1.8524 -1.8524 6.3764 1.8524 1.8524 -6.3764" Properties=species:S:1:pos:R:3 comment="Mg2Fe2As | Alexandria | PBE | optimized geometry" dos_ef_per_ev_cell=4.8 dft_energy_ev_per_fu=-22.04 delta_e_f_ev_per_atom=0.545 pbc="T T T"
Fe 0.0000 0.0000 5.2681
Fe 0.0000 0.0000 7.4847
Mg 0.0000 1.8524 3.1882
Mg 1.8524 0.0000 3.1882
As 0.0000 0.0000 0.0000

6
Lattice="-1.0773 -4.8123 -0.9563 4.8253 -0.7937 -1.4379 0.3862 -1.5087 7.1600" Properties=species:S:1:pos:R:3 comment="AcNdRh | Alexandria | PBE | optimized geometry" dos_ef_per_ev_cell=4.5 dft_energy_ev_per_fu=-17.68 delta_e_f_ev_per_atom=-0.483 pbc="T T T"
Rh 1.1845 -2.7721 4.3437
Rh 3.8758 -4.8984 -1.1862
Ac 1.4339 -2.2600 1.4885
Ac 3.6234 -5.4077 1.6703
Nd 1.3700 -5.6375 5.3646
Nd 4.0763 -3.5397 4.9531